Computed, not measured: a PBEsol-optimized structure of AlTePt2 at the SCAN level of DFT.

Computed properties:
total moment: 0.000 μB per cell
energy relative to the elements, uncorrected: -0.474 eV per atom
energy above the lowest structure with this stoichiometry: 16 meV per atom
raw total energy: -46.8212 eV per atom

Unit cell a=6.765 b=6.765 c=6.765 alpha=153.76 beta=147.22 gamma=42.46
Element x y z (fractional)
Al1 0.000 0.000 0.000
Te1 0.253 0.753 0.500
Pt1 0.440 0.440 0.000
Pt2 0.632 0.132 0.500